Compound: VAg3O4
Source: the Alexandria database
Functional: PBE+U
Structure: relaxed

Theoretical density: 5.9 g cm⁻³
E above lowest polymorph: 0.00 kJ/mol of atoms
Crystal system: monoclinic

CIF file:
```
data_VAg3O4
_chemical_formula_sum 'V4 Ag12 O16'
_space_group_name_H-M_alt 'C 1 2/c 1'
_space_group_IT_number 15
_space_group_name_Hall '-C 2yc'
_cell_length_a 10.5000
_cell_length_b 5.0991
_cell_length_c 10.2997
_cell_angle_alpha 90.00
_cell_angle_beta 116.31
_cell_angle_gamma 90.00
loop_
_atom_site_label
_atom_site_fract_x
_atom_site_fract_y
_atom_site_fract_z
_atom_site_occupancy
V1 0.0000 0.0517 0.2500 1
Ag1 0.0000 0.5000 0.0000 1
Ag2 0.2419 0.0429 0.5972 1
O1 0.0967 0.1523 0.8971 1
O2 0.1157 0.2491 0.2068 1
```